1.
This record from the Alexandria database describes crystalline CePr3Sm12 at its relaxed geometry. The functional is PBE-GGA.

Cell and atoms, written as POSCAR:
```
CePr3Sm12
1.0
-1.951 -4.748 -0.388
2.085 -1.228 4.544
-17.112 6.249 9.543
Ce Pr Sm
1 3 12
direct
0.000 0.000 0.000
0.000 0.000 0.248
0.000 0.000 0.500
0.000 0.000 0.752
0.500 0.500 0.000
0.500 0.500 0.249
0.500 0.500 0.500
0.500 0.500 0.751
0.500 0.000 0.122
0.500 0.000 0.374
0.500 0.000 0.626
0.500 0.000 0.878
0.000 0.500 0.122
0.000 0.500 0.374
0.000 0.500 0.626
0.000 0.500 0.878
```

Properties
VASP energy = -0.3511 Ry per atom

***

2.
This record from the Alexandria database describes crystalline CaReSi2 at its relaxed geometry. The functional is PBE-GGA.

Cell and atoms, written as POSCAR:
```
CaReSi2
1.0
8.024 -0.020 -0.012
7.341 3.238 -0.012
7.341 1.538 2.850
Ca Re Si
1 1 2
direct
0.250 0.250 0.250
0.750 0.750 0.750
0.015 0.015 0.015
0.485 0.485 0.485
```

Properties
Formation energy (no corrections) = -13 meV per atom

***

3.
This record from the Alexandria database describes crystalline TaPOs at its relaxed geometry. The functional is PBE-GGA.

Cell and atoms, written as POSCAR:
```
TaPOs
1.0
-2.938 -0.307 -2.938
-0.019 -2.612 3.246
-1.696 1.876 1.500
Ta P Os
1 1 1
direct
0.333 0.667 0.500
0.667 0.333 0.000
0.000 0.000 0.000
```

Properties
VASP energy = -0.7331 Ry per atom

***

4.
This record from the Alexandria database describes crystalline ThMgZrCd at its relaxed geometry. The functional is PBE-GGA.

Cell and atoms, written as POSCAR:
```
ThMgZrCd
1.0
-0.027 2.272 4.707
-0.215 -2.937 4.318
4.183 -0.383 3.111
Mg Zr Th Cd
1 1 1 1
direct
0.750 0.750 0.750
0.500 0.500 0.500
0.000 0.000 0.000
0.250 0.250 0.250
```

Properties
VASP energy = -0.3345 Ry per atom

***

5.
This record from the Alexandria database describes crystalline LiHo2Ga8 at its relaxed geometry. The functional is PBE-GGA.

Cell and atoms, written as POSCAR:
```
LiHo2Ga8
1.0
4.294 0.000 0.000
0.000 4.294 0.000
0.000 0.000 11.215
Li Ho Ga
1 2 8
direct
0.000 0.000 0.000
0.000 0.000 0.312
0.000 0.000 0.688
0.000 0.500 0.500
0.500 0.000 0.500
0.500 0.500 0.306
0.500 0.500 0.694
0.000 0.500 0.125
0.500 0.000 0.125
0.000 0.500 0.875
0.500 0.000 0.875
```

Properties
VASP energy = -0.2659 Ry per atom

***

6.
This record from the Alexandria database describes crystalline LiAcPb at its relaxed geometry. The functional is PBE-GGA.

Cell and atoms, written as POSCAR:
```
LiAcPb
1.0
5.368 0.000 0.000
2.684 4.649 0.000
2.684 1.550 4.383
Pb Ac Li
1 1 1
direct
0.250 0.250 0.250
0.500 0.500 0.500
0.000 0.000 0.000
```

Properties
Energy above the lowest structure with this stoichiometry = 191 meV per atom